No. 1
First-principles (GGA-PBE) data for a relaxed KHg3Pd crystal, as listed in Alexandria via LeMat-Bulk.

a = 4.6649 Å, b = 4.6649 Å, c = 19.9174 Å
α = 90.00°, β = 90.00°, γ = 120.00°
With the nearest neighbours (Å) after each atom.
Positions (direct):
1 K 0.0000 0.0000 0.0000  6 Hg 3.52
2 K 0.0000 0.0000 0.5000  6 Hg 3.52
3 Hg 0.0000 0.0000 0.2500  3 Pd 2.69
4 Hg 0.0000 0.0000 0.7500  3 Pd 2.69
5 Hg 0.3333 0.6667 0.8861  1 Pd 2.71
6 Hg 0.3333 0.6667 0.6139  1 Pd 2.71
7 Hg 0.6667 0.3333 0.3861  1 Pd 2.71
8 Hg 0.6667 0.3333 0.1139  1 Pd 2.71
9 Pd 0.3333 0.6667 0.7500  5 Hg 2.69-2.71
10 Pd 0.6667 0.3333 0.2500  5 Hg 2.69-2.71

Properties
Total energy in eV per atom: -1.46
Space group: No. 194



No. 2
First-principles (GGA-PBE) data for a relaxed LiMnBiSe3 crystal, as listed in Alexandria via LeMat-Bulk.

a = 4.0867 Å, b = 8.0598 Å, c = 8.6659 Å
α = 105.48°, β = 90.00°, γ = 90.00°
With the nearest neighbours (Å) after each atom.
Positions (direct):
1 Li 0.2500 0.0947 0.5800  4 Se 2.48-2.61, 2 Li 2.70
2 Li 0.7500 0.9053 0.4200  4 Se 2.48-2.61, 2 Li 2.70
3 Mn 0.2500 0.6732 0.1721  6 Se 2.58-2.85
4 Mn 0.7500 0.3268 0.8279  6 Se 2.58-2.85
5 Bi 0.2500 0.1976 0.2193  7 Se 2.92-3.25
6 Bi 0.7500 0.8024 0.7807  7 Se 2.92-3.25
7 Se 0.7500 0.9038 0.1308  1 Li 2.50
8 Se 0.2500 0.0962 0.8692  1 Li 2.50
9 Se 0.2500 0.7596 0.4805  3 Li 2.48-2.61, 1 Mn 2.58
10 Se 0.7500 0.2404 0.5195  3 Li 2.48-2.61, 1 Mn 2.58
11 Se 0.7500 0.4321 0.1417  3 Mn 2.62-2.78
12 Se 0.2500 0.5679 0.8582  3 Mn 2.62-2.78

Properties
Total energy in eV per atom: -4.76
Space group: No. 11
Formation energy without anion corrections in meV per atom: -520.3



Number 1: spin magnetization 0.00 μB/f.u.. Number 2: spin magnetization 5.00 μB/f.u..